(1)
Here is an optimized crystal structure of ErIn2Hg6Pb from Alexandria via LeMat-Bulk. Energies are from GGA-PBE.

Summary:
DFT total energy in eV/atom: -1.66

Lattice parameters (Å, degrees): 9.5433 9.5433 8.0969 103.86 103.86 123.44
Closest atoms and distances in Å follow each position.
Atoms (fractional coordinates):
Er: 0.1986 0.8014 0.7500  8 Hg 3.08-3.21, 2 In 3.39
Er: 0.8014 0.1986 0.2500  8 Hg 3.08-3.21, 2 In 3.39
In: 0.1688 0.4256 0.7252  6 Hg 3.12-3.32, 1 Pb 3.34, 1 Er 3.39, 1 In 3.48
In: 0.4256 0.1688 0.2252  6 Hg 3.12-3.32, 1 Pb 3.34, 1 Er 3.39, 1 In 3.48
In: 0.5744 0.8312 0.7748  6 Hg 3.12-3.32, 1 Pb 3.34, 1 Er 3.39, 1 In 3.48
In: 0.8312 0.5744 0.2748  6 Hg 3.12-3.32, 1 Pb 3.34, 1 Er 3.39, 1 In 3.48
Hg: 0.0152 0.7332 0.0241  1 Er 3.12, 2 In 3.12-3.32, 5 Hg 3.18-3.36, 1 Pb 3.40
Hg: 0.1600 0.2202 0.3526  2 Hg 2.97-3.19, 2 In 3.13-3.18, 1 Er 3.20, 2 Pb 3.24-3.31
Hg: 0.2015 0.6031 0.3918  2 Er 3.08-3.21, 2 In 3.16-3.27, 3 Hg 3.18-3.38, 1 Pb 3.21
Hg: 0.2202 0.1600 0.8526  2 Hg 2.97-3.19, 2 In 3.13-3.18, 1 Er 3.20, 2 Pb 3.24-3.31
Hg: 0.2668 0.9848 0.4759  1 Er 3.12, 2 In 3.12-3.32, 5 Hg 3.18-3.36, 1 Pb 3.40
Hg: 0.3969 0.7985 0.1082  2 Er 3.08-3.21, 2 In 3.16-3.27, 3 Hg 3.18-3.38, 1 Pb 3.21
Hg: 0.6031 0.2015 0.8918  2 Er 3.08-3.21, 2 In 3.16-3.27, 3 Hg 3.18-3.38, 1 Pb 3.21
Hg: 0.7332 0.0152 0.5241  1 Er 3.12, 2 In 3.12-3.32, 5 Hg 3.18-3.36, 1 Pb 3.40
Hg: 0.7798 0.8400 0.1474  2 Hg 2.97-3.19, 2 In 3.13-3.18, 1 Er 3.20, 2 Pb 3.24-3.31
Hg: 0.7985 0.3969 0.6082  2 Er 3.08-3.21, 2 In 3.16-3.27, 3 Hg 3.18-3.38, 1 Pb 3.21
Hg: 0.8400 0.7798 0.6474  2 Hg 2.97-3.19, 2 In 3.13-3.18, 1 Er 3.20, 2 Pb 3.24-3.31
Hg: 0.9848 0.2668 0.9759  1 Er 3.12, 2 In 3.12-3.32, 5 Hg 3.18-3.36, 1 Pb 3.40
Pb: 0.4587 0.5413 0.2500  8 Hg 3.21-3.40, 2 In 3.34
Pb: 0.5413 0.4587 0.7500  8 Hg 3.21-3.40, 2 In 3.34



(2)
Here is an optimized crystal structure of ErInHgPd from Alexandria via LeMat-Bulk. Energies are from GGA-PBE.

Summary:
DFT total energy in eV/atom: -3.76

Lattice parameters (Å, degrees): 4.9254 4.9254 4.9254 60.00 60.00 60.00
Closest atoms and distances in Å follow each position.
Atoms (fractional coordinates):
Er: 0.0000 0.0000 0.0000  4 Hg 3.02, 4 Pd 3.02
In: 0.5000 0.5000 0.5000  4 Hg 3.02, 4 Pd 3.02
Hg: 0.2500 0.2500 0.2500  4 In 3.02, 4 Er 3.02
Pd: 0.7500 0.7500 0.7500  4 In 3.02, 4 Er 3.02



(3)
Here is an optimized crystal structure of PrErInHg from Alexandria via LeMat-Bulk. Energies are from GGA-PBE.

Summary:
DFT total energy in eV/atom: -3.55

Lattice parameters (Å, degrees): 5.3930 5.3930 5.3930 60.00 60.00 60.00
Closest atoms and distances in Å follow each position.
Atoms (fractional coordinates):
Pr: 0.0000 0.0000 0.0000  4 Hg 3.30, 4 In 3.30
Er: 0.5000 0.5000 0.5000  4 Hg 3.30, 4 In 3.30
In: 0.2500 0.2500 0.2500  4 Pr 3.30, 4 Er 3.30
Hg: 0.7500 0.7500 0.7500  4 Pr 3.30, 4 Er 3.30



(4)
Here is an optimized crystal structure of ErInHgRh from Alexandria via LeMat-Bulk. Energies are from GGA-PBE.

Summary:
DFT total energy in eV/atom: -4.16

Lattice parameters (Å, degrees): 4.8922 4.8922 4.8922 60.00 60.00 60.00
Closest atoms and distances in Å follow each position.
Atoms (fractional coordinates):
Er: 0.0000 0.0000 0.0000  4 Rh 3.00, 4 Hg 3.00
In: 0.5000 0.5000 0.5000  4 Rh 3.00, 4 Hg 3.00
Hg: 0.2500 0.2500 0.2500  4 In 3.00, 4 Er 3.00
Rh: 0.7500 0.7500 0.7500  4 In 3.00, 4 Er 3.00



(5)
Here is an optimized crystal structure of ErScInHg from Alexandria via LeMat-Bulk. Energies are from GGA-PBE.

Summary:
DFT total energy in eV/atom: -3.91

Lattice parameters (Å, degrees): 5.1391 5.1391 5.1391 60.00 60.00 60.00
Closest atoms and distances in Å follow each position.
Atoms (fractional coordinates):
Er: 0.0000 0.0000 0.0000  4 Hg 3.15, 4 In 3.15
Sc: 0.5000 0.5000 0.5000  4 Hg 3.15, 4 In 3.15
In: 0.2500 0.2500 0.2500  4 Sc 3.15, 4 Er 3.15
Hg: 0.7500 0.7500 0.7500  4 Sc 3.15, 4 Er 3.15



(6)
Here is an optimized crystal structure of Sm2ErIn3Hg6 from Alexandria via LeMat-Bulk. Energies are from GGA-PBE.

Summary:
DFT total energy in eV/atom: -2.08

Lattice parameters (Å, degrees): 4.2622 4.2622 20.2719 90.00 90.00 90.00
Closest atoms and distances in Å follow each position.
Atoms (fractional coordinates):
Sm: 0.0000 0.0000 0.2184  4 In 3.27, 4 Hg 3.43
Sm: 0.0000 0.0000 0.7816  4 In 3.27, 4 Hg 3.43
Er: 0.0000 0.0000 0.5000  8 Hg 3.09
In: 0.5000 0.5000 0.0000  2 Hg 2.79
In: 0.5000 0.5000 0.2809  5 Hg 2.91-3.06
In: 0.5000 0.5000 0.7191  5 Hg 2.91-3.06
Hg: 0.0000 0.5000 0.3893  4 Hg 3.01, 2 In 3.06, 2 Er 3.09
Hg: 0.0000 0.5000 0.6107  4 Hg 3.01, 2 In 3.06, 2 Er 3.09
Hg: 0.5000 0.0000 0.3893  4 Hg 3.01, 2 In 3.06, 2 Er 3.09
Hg: 0.5000 0.0000 0.6107  4 Hg 3.01, 2 In 3.06, 2 Er 3.09
Hg: 0.5000 0.5000 0.1375  2 In 2.79-2.91
Hg: 0.5000 0.5000 0.8625  2 In 2.79-2.91